Cs2Hg2O5 GGA-PBE optimized geometry; energy relative to the lowest polymorph listed for this composition = 69.1 kJ/mol of atoms; VASP energy = -22.59 eV for the cell shown; space group = P4/mmm
1.0
4.500 0.000 0.000
0.000 4.500 0.000
0.000 0.000 8.851
Cs Hg O
2 2 5
direct
0.000 0.000 0.205
0.000 0.000 0.795
0.500 0.500 0.000
0.500 0.500 0.500
0.000 0.000 0.500
0.000 0.500 0.163
0.000 0.500 0.837
0.500 0.000 0.163
0.500 0.000 0.837